BeBSe | PBE-GGA | relaxed

Size of the total moment   0.00 μB/f.u.
Total energy   -4.69 eV/atom

Lattice parameters (Å, degrees): 6.868 3.231 8.562 90.00 92.76 90.00
Space group C2/m (No. 12)
Asymmetric unit:
Be (0.172, 0.000, 0.176) (multiplicity 4)
B (0.235, 0.000, 0.961) (multiplicity 4)
Se (0.124, 0.000, 0.725) (multiplicity 4)